# VSbPtI2 | the Alexandria database | PBE | relaxed
# E_form (uncorrected)   5.014 eV per formula unit
# Distance to the lowest polymorph of the same formula   4.10 kcal/mol of atoms
# Electronic total energy   -3.47 eV/atom
data_VSbPtI2
_symmetry_space_group_name_H-M 'P 4/m m m'
_symmetry_Int_Tables_number 123
_symmetry_space_group_name_Hall '-P 4 2'
_cell_length_a 5.492
_cell_length_b 5.492
_cell_length_c 5.211
_cell_angle_alpha 90.00
_cell_angle_beta 90.00
_cell_angle_gamma 90.00
loop_
_atom_site_label
_atom_site_fract_x
_atom_site_fract_y
_atom_site_fract_z
_atom_site_occupancy
V1 0.000 0.000 0.000 1
Sb1 0.500 0.500 0.000 1
Pt1 0.500 0.500 0.500 1
I1 0.000 0.500 0.500 1

***

# VSb2PtI | the Alexandria database | PBE | relaxed
# E_form (uncorrected)   3.696 eV per formula unit
# Distance to the lowest polymorph of the same formula   0.00 kcal/mol of atoms
# Electronic total energy   -4.25 eV/atom
data_VSb2PtI
_symmetry_space_group_name_H-M 'P 4/m m m'
_symmetry_Int_Tables_number 123
_symmetry_space_group_name_Hall '-P 4 2'
_cell_length_a 5.140
_cell_length_b 5.140
_cell_length_c 4.967
_cell_angle_alpha 90.00
_cell_angle_beta 90.00
_cell_angle_gamma 90.00
loop_
_atom_site_label
_atom_site_fract_x
_atom_site_fract_y
_atom_site_fract_z
_atom_site_occupancy
V1 0.000 0.000 0.000 1
Sb1 0.000 0.500 0.000 1
Pt1 0.500 0.500 0.500 1
I1 0.000 0.000 0.500 1

***

# YSbPtI2 | the Alexandria database | PBE | relaxed
# E_form (uncorrected)   2.039 eV per formula unit
# Distance to the lowest polymorph of the same formula   10.13 kcal/mol of atoms
# Electronic total energy   -3.54 eV/atom
data_YSbPtI2
_symmetry_space_group_name_H-M 'P 4/m m m'
_symmetry_Int_Tables_number 123
_symmetry_space_group_name_Hall '-P 4 2'
_cell_length_a 5.736
_cell_length_b 5.736
_cell_length_c 6.268
_cell_angle_alpha 90.00
_cell_angle_beta 90.00
_cell_angle_gamma 90.00
loop_
_atom_site_label
_atom_site_fract_x
_atom_site_fract_y
_atom_site_fract_z
_atom_site_occupancy
Y1 0.000 0.000 0.000 1
Sb1 0.000 0.000 0.500 1
Pt1 0.500 0.500 0.500 1
I1 0.000 0.500 0.000 1

***

# YSbPtI2 | the Alexandria database | PBE | relaxed
# E_form (uncorrected)   -0.157 eV per formula unit
# Distance to the lowest polymorph of the same formula   0.00 kcal/mol of atoms
# Electronic total energy   -3.98 eV/atom
data_YSbPtI2
_symmetry_space_group_name_H-M 'P 4/m m m'
_symmetry_Int_Tables_number 123
_symmetry_space_group_name_Hall '-P 4 2'
_cell_length_a 5.365
_cell_length_b 5.365
_cell_length_c 5.429
_cell_angle_alpha 90.00
_cell_angle_beta 90.00
_cell_angle_gamma 90.00
loop_
_atom_site_label
_atom_site_fract_x
_atom_site_fract_y
_atom_site_fract_z
_atom_site_occupancy
Y1 0.000 0.000 0.000 1
Sb1 0.500 0.500 0.000 1
Pt1 0.500 0.500 0.500 1
I1 0.000 0.500 0.500 1

***

# ZnSbPtI2 | the Alexandria database | PBE | relaxed
# E_form (uncorrected)   1.509 eV per formula unit
# Distance to the lowest polymorph of the same formula   0.00 kcal/mol of atoms
# Electronic total energy   -2.61 eV/atom
data_ZnSbPtI2
_symmetry_space_group_name_H-M 'P 4/m m m'
_symmetry_Int_Tables_number 123
_symmetry_space_group_name_Hall '-P 4 2'
_cell_length_a 5.716
_cell_length_b 5.716
_cell_length_c 5.104
_cell_angle_alpha 90.00
_cell_angle_beta 90.00
_cell_angle_gamma 90.00
loop_
_atom_site_label
_atom_site_fract_x
_atom_site_fract_y
_atom_site_fract_z
_atom_site_occupancy
Zn1 0.000 0.000 0.000 1
Sb1 0.500 0.500 0.000 1
Pt1 0.500 0.500 0.500 1
I1 0.000 0.500 0.500 1

***

# ZnSbPtI2 | the Alexandria database | PBE | relaxed
# E_form (uncorrected)   4.478 eV per formula unit
# Distance to the lowest polymorph of the same formula   13.69 kcal/mol of atoms
# Electronic total energy   -2.01 eV/atom
data_ZnSbPtI2
_symmetry_space_group_name_H-M 'P 4/m m m'
_symmetry_Int_Tables_number 123
_symmetry_space_group_name_Hall '-P 4 2'
_cell_length_a 5.360
_cell_length_b 5.360
_cell_length_c 5.275
_cell_angle_alpha 90.00
_cell_angle_beta 90.00
_cell_angle_gamma 90.00
loop_
_atom_site_label
_atom_site_fract_x
_atom_site_fract_y
_atom_site_fract_z
_atom_site_occupancy
Zn1 0.000 0.000 0.000 1
Sb1 0.000 0.000 0.500 1
Pt1 0.500 0.500 0.500 1
I1 0.000 0.500 0.000 1

***

# ZnSb2PtI | the Alexandria database | PBE | relaxed
# E_form (uncorrected)   4.546 eV per formula unit
# Distance to the lowest polymorph of the same formula   10.65 kcal/mol of atoms
# Electronic total energy   -2.51 eV/atom
data_ZnSb2PtI
_symmetry_space_group_name_H-M 'P 4/m m m'
_symmetry_Int_Tables_number 123
_symmetry_space_group_name_Hall '-P 4 2'
_cell_length_a 5.146
_cell_length_b 5.146
_cell_length_c 5.282
_cell_angle_alpha 90.00
_cell_angle_beta 90.00
_cell_angle_gamma 90.00
loop_
_atom_site_label
_atom_site_fract_x
_atom_site_fract_y
_atom_site_fract_z
_atom_site_occupancy
Zn1 0.000 0.000 0.000 1
Sb1 0.000 0.500 0.000 1
Pt1 0.500 0.500 0.500 1
I1 0.000 0.000 0.500 1

***

# ZnSb2PtI | the Alexandria database | PBE | relaxed
# E_form (uncorrected)   2.236 eV per formula unit
# Distance to the lowest polymorph of the same formula   0.00 kcal/mol of atoms
# Electronic total energy   -2.97 eV/atom
data_ZnSb2PtI
_symmetry_space_group_name_H-M 'P 4/m m m'
_symmetry_Int_Tables_number 123
_symmetry_space_group_name_Hall '-P 4 2'
_cell_length_a 5.263
_cell_length_b 5.263
_cell_length_c 5.696
_cell_angle_alpha 90.00
_cell_angle_beta 90.00
_cell_angle_gamma 90.00
loop_
_atom_site_label
_atom_site_fract_x
_atom_site_fract_y
_atom_site_fract_z
_atom_site_occupancy
Zn1 0.000 0.000 0.000 1
Sb1 0.000 0.500 0.500 1
Pt1 0.500 0.500 0.500 1
I1 0.500 0.500 0.000 1

***

# ZnSbPt2I | the Alexandria database | PBE | relaxed
# E_form (uncorrected)   5.022 eV per formula unit
# Electronic total energy   -2.80 eV/atom
data_ZnSbPt2I
_symmetry_space_group_name_H-M 'P 4/m m m'
_symmetry_Int_Tables_number 123
_symmetry_space_group_name_Hall '-P 4 2'
_cell_length_a 5.075
_cell_length_b 5.075
_cell_length_c 5.081
_cell_angle_alpha 90.00
_cell_angle_beta 90.00
_cell_angle_gamma 90.00
loop_
_atom_site_label
_atom_site_fract_x
_atom_site_fract_y
_atom_site_fract_z
_atom_site_occupancy
Zn1 0.000 0.000 0.000 1
Sb1 0.500 0.500 0.000 1
Pt1 0.000 0.500 0.500 1
I1 0.000 0.000 0.500 1

***

# ZrSb2PtI | the Alexandria database | PBE | relaxed
# E_form (uncorrected)   2.540 eV per formula unit
# Distance to the lowest polymorph of the same formula   0.00 kcal/mol of atoms
# Electronic total energy   -4.37 eV/atom
data_ZrSb2PtI
_symmetry_space_group_name_H-M 'P 4/m m m'
_symmetry_Int_Tables_number 123
_symmetry_space_group_name_Hall '-P 4 2'
_cell_length_a 5.216
_cell_length_b 5.216
_cell_length_c 5.367
_cell_angle_alpha 90.00
_cell_angle_beta 90.00
_cell_angle_gamma 90.00
loop_
_atom_site_label
_atom_site_fract_x
_atom_site_fract_y
_atom_site_fract_z
_atom_site_occupancy
Zr1 0.000 0.000 0.000 1
Sb1 0.000 0.500 0.500 1
Pt1 0.500 0.500 0.500 1
I1 0.500 0.500 0.000 1

***

# ZrSb2PtI | the Alexandria database | PBE | relaxed
# E_form (uncorrected)   3.663 eV per formula unit
# Distance to the lowest polymorph of the same formula   5.18 kcal/mol of atoms
# Electronic total energy   -4.14 eV/atom
data_ZrSb2PtI
_symmetry_space_group_name_H-M 'P 4/m m m'
_symmetry_Int_Tables_number 123
_symmetry_space_group_name_Hall '-P 4 2'
_cell_length_a 5.579
_cell_length_b 5.579
_cell_length_c 5.402
_cell_angle_alpha 90.00
_cell_angle_beta 90.00
_cell_angle_gamma 90.00
loop_
_atom_site_label
_atom_site_fract_x
_atom_site_fract_y
_atom_site_fract_z
_atom_site_occupancy
Zr1 0.000 0.000 0.000 1
Sb1 0.000 0.500 0.000 1
Pt1 0.500 0.500 0.500 1
I1 0.000 0.000 0.500 1

***

# Sc2PtI | the Alexandria database | PBE | relaxed
# E_form (uncorrected)   -1.993 eV per formula unit
# Distance to the lowest polymorph of the same formula   8.72 kcal/mol of atoms
# Electronic total energy   -5.56 eV/atom
data_Sc2PtI
_symmetry_space_group_name_H-M 'F m -3 m'
_symmetry_Int_Tables_number 225
_symmetry_space_group_name_Hall '-F 4 2 3'
_cell_length_a 6.976
_cell_length_b 6.976
_cell_length_c 6.976
_cell_angle_alpha 90.00
_cell_angle_beta 90.00
_cell_angle_gamma 90.00
loop_
_atom_site_label
_atom_site_fract_x
_atom_site_fract_y
_atom_site_fract_z
_atom_site_occupancy
Sc1 0.250 0.250 0.250 1
Pt1 0.000 0.000 0.000 1
I1 0.000 0.000 0.500 1

***

# Sc2PtI | the Alexandria database | PBE | relaxed
# E_form (uncorrected)   -2.206 eV per formula unit
# Distance to the lowest polymorph of the same formula   7.49 kcal/mol of atoms
# Electronic total energy   -5.62 eV/atom
data_Sc2PtI
_symmetry_space_group_name_H-M 'I -4 2 d'
_symmetry_Int_Tables_number 122
_symmetry_space_group_name_Hall 'I -4 2bw'
_cell_length_a 7.405
_cell_length_b 7.405
_cell_length_c 7.420
_cell_angle_alpha 90.00
_cell_angle_beta 90.00
_cell_angle_gamma 90.00
loop_
_atom_site_label
_atom_site_fract_x
_atom_site_fract_y
_atom_site_fract_z
_atom_site_occupancy
Sc1 0.209 0.750 0.125 1
Pt1 0.000 0.000 0.000 1
I1 0.000 0.000 0.500 1

***

# Sc2PtI | the Alexandria database | PBE | relaxed
# E_form (uncorrected)   -3.506 eV per formula unit
# Distance to the lowest polymorph of the same formula   0.00 kcal/mol of atoms
# Electronic total energy   -5.94 eV/atom
data_Sc2PtI
_symmetry_space_group_name_H-M 'R -3 m'
_symmetry_Int_Tables_number 166
_symmetry_space_group_name_Hall '-R 3 2"'
_cell_length_a 4.0995
_cell_length_b 4.0995
_cell_length_c 24.5715
_cell_angle_alpha 90.00
_cell_angle_beta 90.00
_cell_angle_gamma 120.00
loop_
_atom_site_label
_atom_site_fract_x
_atom_site_fract_y
_atom_site_fract_z
_atom_site_occupancy
Sc1 0.0000 0.0000 0.1160 1
Pt1 0.0000 0.0000 0.5000 1
I1 0.0000 0.0000 0.0000 1

***

# ScPtI2 | the Alexandria database | PBE | relaxed
# E_form (uncorrected)   -0.290 eV per formula unit
# Distance to the lowest polymorph of the same formula   0.28 kcal/mol of atoms
# Electronic total energy   -3.94 eV/atom
data_ScPtI2
_symmetry_space_group_name_H-M 'F m -3 m'
_symmetry_Int_Tables_number 225
_symmetry_space_group_name_Hall '-F 4 2 3'
_cell_length_a 7.257
_cell_length_b 7.257
_cell_length_c 7.257
_cell_angle_alpha 90.00
_cell_angle_beta 90.00
_cell_angle_gamma 90.00
loop_
_atom_site_label
_atom_site_fract_x
_atom_site_fract_y
_atom_site_fract_z
_atom_site_occupancy
Sc1 0.000 0.000 0.000 1
Pt1 0.000 0.000 0.500 1
I1 0.250 0.250 0.250 1

***

# ScPt3I | the Alexandria database | PBE | relaxed
# E_form (uncorrected)   3.407 eV per formula unit
# Distance to the lowest polymorph of the same formula   0.64 kcal/mol of atoms
# Electronic total energy   -4.52 eV/atom
data_ScPt3I
_symmetry_space_group_name_H-M 'P m -3 m'
_symmetry_Int_Tables_number 221
_symmetry_space_group_name_Hall '-P 4 2 3'
_cell_length_a 4.962
_cell_length_b 4.962
_cell_length_c 4.962
_cell_angle_alpha 90.00
_cell_angle_beta 90.00
_cell_angle_gamma 90.00
loop_
_atom_site_label
_atom_site_fract_x
_atom_site_fract_y
_atom_site_fract_z
_atom_site_occupancy
Sc1 0.000 0.000 0.000 1
Pt1 0.000 0.500 0.500 1
I1 0.500 0.500 0.500 1

***

# ScPtI2 | the Alexandria database | PBE | relaxed
# E_form (uncorrected)   -0.339 eV per formula unit
# Distance to the lowest polymorph of the same formula   0.00 kcal/mol of atoms
# Electronic total energy   -3.95 eV/atom
data_ScPtI2
_symmetry_space_group_name_H-M 'I -4 2 d'
_symmetry_Int_Tables_number 122
_symmetry_space_group_name_Hall 'I -4 2bw'
_cell_length_a 6.513
_cell_length_b 6.513
_cell_length_c 12.308
_cell_angle_alpha 90.00
_cell_angle_beta 90.00
_cell_angle_gamma 90.00
loop_
_atom_site_label
_atom_site_fract_x
_atom_site_fract_y
_atom_site_fract_z
_atom_site_occupancy
Sc1 0.000 0.000 0.000 1
Pt1 0.000 0.000 0.500 1
I1 0.230 0.250 0.625 1

***

# ScPt3I | the Alexandria database | PBE | relaxed
# E_form (uncorrected)   3.268 eV per formula unit
# Distance to the lowest polymorph of the same formula   0.00 kcal/mol of atoms
# Electronic total energy   -4.55 eV/atom
data_ScPt3I
_symmetry_space_group_name_H-M 'P m -3 m'
_symmetry_Int_Tables_number 221
_symmetry_space_group_name_Hall '-P 4 2 3'
_cell_length_a 4.915
_cell_length_b 4.915
_cell_length_c 4.915
_cell_angle_alpha 90.00
_cell_angle_beta 90.00
_cell_angle_gamma 90.00
loop_
_atom_site_label
_atom_site_fract_x
_atom_site_fract_y
_atom_site_fract_z
_atom_site_occupancy
Sc1 0.000 0.000 0.000 1
Pt1 0.000 0.000 0.500 1
I1 0.500 0.500 0.500 1

***

# Sc3PtI | the Alexandria database | PBE | relaxed
# E_form (uncorrected)   -2.268 eV per formula unit
# Distance to the lowest polymorph of the same formula   0.00 kcal/mol of atoms
# Electronic total energy   -5.77 eV/atom
data_Sc3PtI
_symmetry_space_group_name_H-M 'P m -3 m'
_symmetry_Int_Tables_number 221
_symmetry_space_group_name_Hall '-P 4 2 3'
_cell_length_a 5.164
_cell_length_b 5.164
_cell_length_c 5.164
_cell_angle_alpha 90.00
_cell_angle_beta 90.00
_cell_angle_gamma 90.00
loop_
_atom_site_label
_atom_site_fract_x
_atom_site_fract_y
_atom_site_fract_z
_atom_site_occupancy
Sc1 0.000 0.000 0.500 1
Pt1 0.000 0.000 0.000 1
I1 0.500 0.500 0.500 1

***

# Sc4PtI5 | the Alexandria database | PBE | relaxed
# E_form (uncorrected)   -10.834 eV per formula unit
# Electronic total energy   -5.00 eV/atom
data_Sc4PtI5
_symmetry_space_group_name_H-M 'C 1 2/m 1'
_symmetry_Int_Tables_number 12
_symmetry_space_group_name_Hall '-C 2y'
_cell_length_a 18.796
_cell_length_b 4.001
_cell_length_c 8.471
_cell_angle_alpha 90.00
_cell_angle_beta 102.38
_cell_angle_gamma 90.00
loop_
_atom_site_label
_atom_site_fract_x
_atom_site_fract_y
_atom_site_fract_z
_atom_site_occupancy
Sc1 0.002 0.000 0.203 1
Sc2 0.141 0.500 0.072 1
Pt1 0.000 0.500 0.000 1
I1 0.000 0.500 0.500 1
I2 0.166 0.000 0.335 1
I3 0.174 0.000 0.835 1